(1)
# PBE ScSbPdI2, relaxed
# E	-3.60	eV/atom
# formation energy (no corrections)	147	meV per atom
data_ScSbPdI2
_cell_length_a 5.579
_cell_length_b 5.579
_cell_length_c 5.677
_cell_angle_alpha 90.00
_cell_angle_beta 90.00
_cell_angle_gamma 90.00
_space_group_name_H-M_alt 'P 4/m m m'
_space_group_IT_number 123
_space_group_name_Hall '-P 4 2'
loop_
_atom_site_label
_atom_site_type_symbol
_atom_site_fract_x
_atom_site_fract_y
_atom_site_fract_z
Sc1 Sc 0.000 0.000 0.000
Sb1 Sb 0.000 0.000 0.500
Pd1 Pd 0.500 0.500 0.500
I1 I 0.000 0.500 0.000


(2)
# PBE Sb2PdSeI, relaxed
# E	-2.80	eV/atom
# energy above the lowest structure with this stoichiometry	478	meV per atom
# formation energy (no corrections)	894	meV per atom
data_Sb2PdSeI
_cell_length_a 5.393
_cell_length_b 5.393
_cell_length_c 5.666
_cell_angle_alpha 90.00
_cell_angle_beta 90.00
_cell_angle_gamma 90.00
_space_group_name_H-M_alt 'P 4/m m m'
_space_group_IT_number 123
_space_group_name_Hall '-P 4 2'
loop_
_atom_site_label
_atom_site_type_symbol
_atom_site_fract_x
_atom_site_fract_y
_atom_site_fract_z
Sb1 Sb 0.000 0.500 0.000
Pd1 Pd 0.000 0.000 0.500
Se1 Se 0.500 0.500 0.000
I1 I 0.500 0.500 0.500


(3)
# PBE Sb2PdSeI, relaxed
# E	-3.28	eV/atom
# energy above the lowest structure with this stoichiometry	0	meV per atom
# formation energy (no corrections)	415	meV per atom
data_Sb2PdSeI
_cell_length_a 5.289
_cell_length_b 5.289
_cell_length_c 5.288
_cell_angle_alpha 90.00
_cell_angle_beta 90.00
_cell_angle_gamma 90.00
_space_group_name_H-M_alt 'P 4/m m m'
_space_group_IT_number 123
_space_group_name_Hall '-P 4 2'
loop_
_atom_site_label
_atom_site_type_symbol
_atom_site_fract_x
_atom_site_fract_y
_atom_site_fract_z
Sb1 Sb 0.000 0.500 0.000
Pd1 Pd 0.000 0.000 0.000
Se1 Se 0.500 0.500 0.500
I1 I 0.000 0.000 0.500


(4)
# PBE SiSb2PdI, relaxed
# E	-3.27	eV/atom
# energy above the lowest structure with this stoichiometry	101	meV per atom
# formation energy (no corrections)	809	meV per atom
data_SiSb2PdI
_cell_length_a 5.212
_cell_length_b 5.212
_cell_length_c 5.338
_cell_angle_alpha 90.00
_cell_angle_beta 90.00
_cell_angle_gamma 90.00
_space_group_name_H-M_alt 'P 4/m m m'
_space_group_IT_number 123
_space_group_name_Hall '-P 4 2'
loop_
_atom_site_label
_atom_site_type_symbol
_atom_site_fract_x
_atom_site_fract_y
_atom_site_fract_z
Si1 Si 0.000 0.000 0.000
Sb1 Sb 0.000 0.500 0.000
Pd1 Pd 0.500 0.500 0.500
I1 I 0.000 0.000 0.500